Below is a geometry-optimized La3Tm structure, with properties calculated at the PBE level.

Energy of formation from the pure elements (eV/atom): 0.04

Lattice parameters (Å, degrees): 7.0150 7.0150 7.0150 149.20 63.61 125.84
Last column: nearest neighbours and their distance in Å.
Atoms (fractional coordinates):
La1 0.0000 0.0000 0.0000  8 La 3.64-3.73, 4 Tm 3.69-3.70
La2 0.0903 0.3363 0.7540  3 Tm 3.63-3.71, 9 La 3.64-3.73
La3 0.5823 0.3363 0.2460  3 Tm 3.63-3.71, 9 La 3.64-3.73
Tm1 0.5013 0.0013 0.5000  10 La 3.63-3.71, 2 Tm 3.73

***

Below is a geometry-optimized La5Tm3 structure, with properties calculated at the PBE level.

Energy of formation from the pure elements (eV/atom): 0.03

Lattice parameters (Å, degrees): 3.6995 3.6995 20.0992 90.00 90.00 90.00
Last column: nearest neighbours and their distance in Å.
Atoms (fractional coordinates):
La1 0.0000 0.0000 0.0000  8 Tm 3.57, 4 La 3.70
La2 0.0000 0.0000 0.2460  4 Tm 3.62, 8 La 3.69-3.70
La3 0.0000 0.0000 0.7540  4 Tm 3.62, 8 La 3.69-3.70
La4 0.5000 0.5000 0.3758  4 Tm 3.62, 8 La 3.69-3.70
La5 0.5000 0.5000 0.6242  4 Tm 3.62, 8 La 3.69-3.70
Tm1 0.0000 0.0000 0.5000  8 La 3.62, 4 Tm 3.70
Tm2 0.5000 0.5000 0.1212  8 La 3.57-3.62, 4 Tm 3.70
Tm3 0.5000 0.5000 0.8788  8 La 3.57-3.62, 4 Tm 3.70